Ti6Ni2Sn after structural relaxation. Source: Alexandria, functional GGA-PBE.

Space group: Immm, No. 71
Energy relative to the elements, meV per atom: -211

a = 7.280 Å, b = 7.280 Å, c = 7.280 Å
α = 112.17°, β = 110.52°, γ = 105.79°
Fractional positions:
Ti 0.029 0.802 0.227
Ti 0.250 0.522 0.272
Ti 0.250 0.978 0.728
Ti 0.284 0.292 0.575
Ti 0.284 0.708 0.992
Ti 0.425 0.198 0.227
Ti 0.575 0.802 0.773
Ti 0.716 0.292 0.008
Ti 0.716 0.708 0.425
Ti 0.750 0.022 0.272
Ti 0.750 0.478 0.728
Ti 0.971 0.198 0.773
Ni 0.000 0.142 0.142
Ni 0.000 0.858 0.858
Ni 0.371 0.371 0.000
Ni 0.629 0.629 0.000
Sn 0.000 0.500 0.500
Sn 0.500 0.000 0.500